# 1
RbCa2Pt | PBE-GGA | relaxed

```
data_RbCa2Pt
_cell_length_a 8.720
_cell_length_b 8.720
_cell_length_c 12.414
_cell_angle_alpha 90.00
_cell_angle_beta 90.00
_cell_angle_gamma 90.00
_symmetry_space_group_name_H-M 'I -4 2 d'
_symmetry_Int_Tables_number 122
_symmetry_space_group_name_Hall 'I -4 2bw'
loop_
_atom_site_label
_atom_site_type_symbol
_atom_site_fract_x
_atom_site_fract_y
_atom_site_fract_z
_atom_site_occupancy
Rb1 Rb 0.000 0.000 0.000 1
Ca1 Ca 0.007 0.250 0.625 1
Pt1 Pt 0.000 0.000 0.500 1
```

Computed properties:
Calculated formation energy = -117 meV per atom
Excess energy over the best structure of this formula in the dataset = 0.275 eV per atom
DFT total energy = -2.870 eV per atom

# 2
RbCa2Pt2 | PBE-GGA | relaxed

```
data_RbCa2Pt2
_cell_length_a 8.593
_cell_length_b 8.593
_cell_length_c 3.561
_cell_angle_alpha 90.00
_cell_angle_beta 90.00
_cell_angle_gamma 90.00
_symmetry_space_group_name_H-M 'P 4/m b m'
_symmetry_Int_Tables_number 127
_symmetry_space_group_name_Hall '-P 4 2ab'
loop_
_atom_site_label
_atom_site_type_symbol
_atom_site_fract_x
_atom_site_fract_y
_atom_site_fract_z
_atom_site_occupancy
Rb1 Rb 0.000 0.000 0.000 1
Ca1 Ca 0.143 0.357 0.500 1
Pt1 Pt 0.141 0.641 0.000 1
```

Computed properties:
Calculated formation energy = -505 meV per atom
DFT total energy = -3.915 eV per atom

# 3
RbCaPt4 | PBE-GGA | relaxed

```
data_RbCaPt4
_cell_length_a 7.829
_cell_length_b 7.829
_cell_length_c 7.829
_cell_angle_alpha 90.00
_cell_angle_beta 90.00
_cell_angle_gamma 90.00
_symmetry_space_group_name_H-M 'F -4 3 m'
_symmetry_Int_Tables_number 216
_symmetry_space_group_name_Hall 'F -4 2 3'
loop_
_atom_site_label
_atom_site_type_symbol
_atom_site_fract_x
_atom_site_fract_y
_atom_site_fract_z
_atom_site_occupancy
Rb1 Rb 0.000 0.000 0.000 1
Ca1 Ca 0.250 0.250 0.750 1
Pt1 Pt 0.125 0.125 0.375 1
```

Computed properties:
Calculated formation energy = -482 meV per atom
DFT total energy = -5.004 eV per atom

# 4
RbCa2Pt | PBE-GGA | relaxed

```
data_RbCa2Pt
_cell_length_a 7.739
_cell_length_b 7.739
_cell_length_c 7.739
_cell_angle_alpha 90.00
_cell_angle_beta 90.00
_cell_angle_gamma 90.00
_symmetry_space_group_name_H-M 'F m -3 m'
_symmetry_Int_Tables_number 225
_symmetry_space_group_name_Hall '-F 4 2 3'
loop_
_atom_site_label
_atom_site_type_symbol
_atom_site_fract_x
_atom_site_fract_y
_atom_site_fract_z
_atom_site_occupancy
Rb1 Rb 0.000 0.000 0.000 1
Ca1 Ca 0.250 0.250 0.250 1
Pt1 Pt 0.000 0.000 0.500 1
```

Computed properties:
Calculated formation energy = -60 meV per atom
Excess energy over the best structure of this formula in the dataset = 0.333 eV per atom
DFT total energy = -2.813 eV per atom

# 5
Rb2CaPt2 | PBE-GGA | relaxed

```
data_Rb2CaPt2
_cell_length_a 7.488
_cell_length_b 7.488
_cell_length_c 5.614
_cell_angle_alpha 90.00
_cell_angle_beta 90.00
_cell_angle_gamma 90.00
_symmetry_space_group_name_H-M 'P 4/m b m'
_symmetry_Int_Tables_number 127
_symmetry_space_group_name_Hall '-P 4 2ab'
loop_
_atom_site_label
_atom_site_type_symbol
_atom_site_fract_x
_atom_site_fract_y
_atom_site_fract_z
_atom_site_occupancy
Rb1 Rb 0.166 0.334 0.000 1
Ca1 Ca 0.000 0.000 0.500 1
Pt1 Pt 0.124 0.624 0.500 1
```

Computed properties:
Calculated formation energy = -99 meV per atom
DFT total energy = -3.302 eV per atom

# 6
RbCa2Pt | PBE-GGA | relaxed

```
data_RbCa2Pt
_cell_length_a 4.2974
_cell_length_b 4.2974
_cell_length_c 33.7552
_cell_angle_alpha 90.00
_cell_angle_beta 90.00
_cell_angle_gamma 120.00
_symmetry_space_group_name_H-M 'R -3 m'
_symmetry_Int_Tables_number 166
_symmetry_space_group_name_Hall '-R 3 2"'
loop_
_atom_site_label
_atom_site_type_symbol
_atom_site_fract_x
_atom_site_fract_y
_atom_site_fract_z
_atom_site_occupancy
Rb1 Rb 0.0000 0.0000 0.0000 1
Ca1 Ca 0.0000 0.0000 0.1242 1
Pt1 Pt 0.0000 0.0000 0.5000 1
```

Computed properties:
Calculated formation energy = -393 meV per atom
Excess energy over the best structure of this formula in the dataset = 0.000 eV per atom
DFT total energy = -3.146 eV per atom

# 7
RbSrCa2Pt | PBE-GGA | relaxed

```
data_RbSrCa2Pt
_cell_length_a 5.848
_cell_length_b 5.848
_cell_length_c 6.081
_cell_angle_alpha 90.00
_cell_angle_beta 90.00
_cell_angle_gamma 90.00
_symmetry_space_group_name_H-M 'P 4/m m m'
_symmetry_Int_Tables_number 123
_symmetry_space_group_name_Hall '-P 4 2'
loop_
_atom_site_label
_atom_site_type_symbol
_atom_site_fract_x
_atom_site_fract_y
_atom_site_fract_z
_atom_site_occupancy
Rb1 Rb 0.000 0.000 0.000 1
Sr1 Sr 0.500 0.500 0.000 1
Ca1 Ca 0.000 0.500 0.500 1
Pt1 Pt 0.500 0.500 0.500 1
```

Computed properties:
Calculated formation energy = -369 meV per atom
DFT total energy = -2.908 eV per atom

# 8
Rb2CaTiPt | PBE-GGA | relaxed

```
data_Rb2CaTiPt
_cell_length_a 6.547
_cell_length_b 6.547
_cell_length_c 5.576
_cell_angle_alpha 90.00
_cell_angle_beta 90.00
_cell_angle_gamma 90.00
_symmetry_space_group_name_H-M 'P 4/m m m'
_symmetry_Int_Tables_number 123
_symmetry_space_group_name_Hall '-P 4 2'
loop_
_atom_site_label
_atom_site_type_symbol
_atom_site_fract_x
_atom_site_fract_y
_atom_site_fract_z
_atom_site_occupancy
Rb1 Rb 0.000 0.500 0.000 1
Ca1 Ca 0.000 0.000 0.000 1
Ti1 Ti 0.000 0.000 0.500 1
Pt1 Pt 0.500 0.500 0.500 1
```

Computed properties:
Calculated formation energy = 1511 meV per atom
DFT total energy = -2.064 eV per atom